MgAgAuF6 | PBE | optimized geometry

Calculated values
Formation energy from raw total energies, eV per atom: -1.78
Symmetry: P-31c
Total DFT energy (no corrections), eV/cell: -70.00
M_tot, μB per formula unit: 2.00

Cell: 5.570 5.570 9.969 Å, 90.00 90.00 120.00°
Each line ends with the local moment (μB).
Element x y z (fractional)
F  0.344  0.366  0.360  0.13
F  0.634  0.656  0.140  0.13
F  0.366  0.344  0.860  0.13
F  0.366  0.022  0.640  0.13
F  0.022  0.366  0.140  0.13
F  0.978  0.634  0.860  0.13
F  0.978  0.344  0.640  0.13
F  0.656  0.634  0.640  0.13
F  0.344  0.978  0.140  0.13
F  0.022  0.656  0.360  0.13
F  0.656  0.022  0.860  0.13
F  0.634  0.978  0.360  0.13
Mg  0.333  0.667  0.250  0.00
Mg  0.667  0.333  0.750  0.00
Ag  0.000  0.000  0.000  0.19
Ag  0.000  0.000  0.500  0.19
Au  0.333  0.667  0.750  0.93
Au  0.667  0.333  0.250  0.93